No. 1
An optimized crystal structure of NiAs2, computed with PBE-GGA.

Cell: 5.797 5.797 5.797 Å, 90.00 90.00 90.00°
Element x y z (fractional)
Ni1 0.000 0.500 0.500
Ni2 0.500 0.000 0.500
Ni3 0.000 0.000 0.000
Ni4 0.500 0.500 0.000
As1 0.877 0.123 0.623
As2 0.623 0.623 0.623
As3 0.123 0.877 0.377
As4 0.623 0.877 0.123
As5 0.877 0.377 0.123
As6 0.377 0.377 0.377
As7 0.377 0.123 0.877
As8 0.123 0.623 0.877

N(E_F)   2.77 states/eV per cell
Crystal system   cubic
Formation enthalpy at 0 K   -0.253 eV/atom

No. 2
An optimized crystal structure of Sm2UIn9, computed with PBE-GGA.

Cell: 4.658 4.658 14.020 Å, 90.00 90.00 90.00°
Site moments in Bohr magnetons follow the coordinates.
Element x y z (fractional)
Sm1 0.000 0.000 0.333  -0.01
Sm2 0.000 0.000 0.667  -0.01
In1 0.500 0.500 0.668  -0.01
In2 0.000 0.500 0.836  0.00
In3 0.500 0.000 0.500  -0.01
In4 0.500 0.500 0.332  -0.01
In5 0.500 0.500 0.000  0.01
In6 0.000 0.500 0.164  0.00
In7 0.500 0.000 0.836  0.00
In8 0.000 0.500 0.500  -0.01
In9 0.500 0.000 0.164  0.00
U1 0.000 0.000 0.000  2.41

N(E_F)   9.35 states/eV per cell
Crystal system   tetragonal
Formation enthalpy at 0 K   -0.306 eV/atom

No. 3
An optimized crystal structure of LaBi2N, computed with PBE-GGA.

Cell: 9.492 9.492 7.167 Å, 48.53 48.53 90.00°
Element x y z (fractional)
Bi1 0.272 0.625 0.250
Bi2 0.875 0.728 0.750
Bi3 0.478 0.125 0.250
Bi4 0.375 0.522 0.750
N1 0.250 0.750 0.500
N2 0.500 0.500 0.000
La1 0.750 0.250 0.500
La2 0.000 0.000 0.000

N(E_F)   4.82 states/eV per cell
Crystal system   tetragonal
Uncorrected energy   -5.30 eV per atom

No. 4
An optimized crystal structure of Ta2TiS6, computed with PBE-GGA.

Cell: 3.388 7.765 8.472 Å, 113.08 101.53 90.00°
Element x y z (fractional)
S1 0.340 0.904 0.680
S2 0.995 0.769 0.991
S3 0.005 0.231 0.009
S4 0.327 0.429 0.655
S5 0.660 0.096 0.320
S6 0.673 0.571 0.345
Ta1 0.837 0.670 0.673
Ta2 0.163 0.330 0.327
Ti1 0.500 0.000 0.000

N(E_F)   3.91 states/eV per cell
Crystal system   monoclinic
Uncorrected energy   -7.39 eV per atom